[1]
Compound: Be2HgRuCl
Source: Alexandria via LeMat-Bulk
Functional: PBEsol
Structure: relaxed

Geometry as POSCAR:
```
Be2HgRuCl
1.0
4.239 0.000 0.000
0.000 4.239 0.000
0.000 0.000 5.225
Be Hg Ru Cl
2 1 1 1
Cartesian
0.000 2.119 0.000
2.119 0.000 0.000
0.000 0.000 2.612
0.000 0.000 0.000
2.119 2.119 2.612
```

## Properties
**Uncorrected energy**: -16.442 eV per formula unit
**Size of the total moment**: 0.00 μB/atom

***

[2]
Compound: ZrSc2Fe
Source: Alexandria via LeMat-Bulk
Functional: PBEsol
Structure: relaxed

Geometry as POSCAR:
```
ZrSc2Fe
1.0
3.159 0.000 0.000
0.000 4.264 0.000
-1.545 0.000 5.445
Zr Sc Fe
1 2 1
Cartesian
0.000 0.000 0.000
0.106 2.132 3.930
1.509 2.132 1.515
-0.772 0.000 2.723
```

## Properties
**E_form**: 0.5 eV per formula unit
**Relative energy among the computed polymorphs**: 216 meV/atom
**Uncorrected energy**: -30.776 eV per formula unit
**Size of the total moment**: 0.01 μB/atom

***

What did the first record say?
Compound: Be2HgRuCl
Source: Alexandria via LeMat-Bulk
Functional: PBEsol
Structure: relaxed

Geometry as POSCAR:
```
Be2HgRuCl
1.0
4.239 0.000 0.000
0.000 4.239 0.000
0.000 0.000 5.225
Be Hg Ru Cl
2 1 1 1
Cartesian
0.000 2.119 0.000
2.119 0.000 0.000
0.000 0.000 2.612
0.000 0.000 0.000
2.119 2.119 2.612
```

## Properties
**Uncorrected energy**: -16.442 eV per formula unit
**Size of the total moment**: 0.00 μB/atom

***

- Among the records above, which one has the lowest size of the total moment?
  Be2HgRuCl

***

- The highest size of the total moment belongs to which entry?
  ZrSc2Fe